First-principles (meta-GGA SCAN) data for a PBEsol-optimized structure of AuSeBr2, as listed in Alexandria via LeMat-Bulk.

Lattice parameters (Å, degrees): 3.6057 3.6057 8.1226 90.00 90.00 90.00
Atoms (fractional coordinates):
Au  0.5000  0.5000  0.5770
Br  0.0000  0.0000  0.9706
Br  0.5000  0.5000  0.2717
Se  0.0000  0.0000  0.6807

Computed properties:
Raw total energy = -127.77 eV for the cell shown